(1)
Compound: Li2ErGaGe2
Source: the Alexandria database
Functional: GGA-PBE
Structure: relaxed

Cell lengths 4.098, 7.024, 8.014 Å; angles 90.00, 90.00, 90.00 degrees
Sites, in units of the cell vectors:
Li 0.500 0.040 0.079
Li 0.000 0.362 0.170
Li 0.500 0.540 0.921
Li 0.000 0.862 0.830
Er 0.000 0.983 0.436
Er 0.000 0.483 0.564
Ga 0.500 0.146 0.692
Ga 0.500 0.646 0.308
Ge 0.000 0.246 0.858
Ge 0.500 0.269 0.368
Ge 0.000 0.746 0.142
Ge 0.500 0.769 0.632

Energy relative to the elements (eV/f.u.): -3.1
Calculated volume (Å³ per cell): 230.7
Total moment (μB/f.u.): 0.000
Mass density (g/cm³): 5.7

***

(2)
Compound: Li2ErGa2Ge2
Source: the Alexandria database
Functional: GGA-PBE
Structure: relaxed

Cell lengths 4.359, 4.359, 8.067 Å; angles 74.33, 74.33, 60.00 degrees
Sites, in units of the cell vectors:
Li 0.143 0.143 0.572
Li 0.857 0.857 0.428
Er 0.000 0.000 0.000
Ga 0.560 0.560 0.320
Ga 0.440 0.440 0.680
Ge 0.740 0.740 0.781
Ge 0.260 0.260 0.219

Energy relative to the elements (eV/f.u.): -2.7
Calculated volume (Å³ per cell): 126.1
Total moment (μB/f.u.): 0.000
Mass density (g/cm³): 6.1

***

(3)
Compound: ErLuGaGe
Source: the Alexandria database
Functional: GGA-PBE
Structure: relaxed

Cell lengths 4.990, 4.990, 4.990 Å; angles 60.00, 60.00, 60.00 degrees
Sites, in units of the cell vectors:
Ge 0.250 0.250 0.250
Lu 0.500 0.500 0.500
Ga 0.750 0.750 0.750
Er 0.000 0.000 0.000

Energy relative to the elements (eV/f.u.): -2.2
Calculated volume (Å³ per cell): 87.9
Total moment (μB/f.u.): 0.000
Mass density (g/cm³): 9.2

***

(4)
Compound: ErMgGaGe
Source: the Alexandria database
Functional: GGA-PBE
Structure: relaxed

Cell lengths 4.913, 4.913, 4.913 Å; angles 60.00, 60.00, 60.00 degrees
Sites, in units of the cell vectors:
Ge 0.500 0.500 0.500
Mg 0.250 0.250 0.250
Ga 0.000 0.000 0.000
Er 0.750 0.750 0.750

Energy relative to the elements (eV/f.u.): -1.3
Calculated volume (Å³ per cell): 83.9
Total moment (μB/f.u.): 0.000
Mass density (g/cm³): 6.6

***

(5)
Compound: Er3Mn3Ga2Ge
Source: the Alexandria database
Functional: GGA-PBE
Structure: relaxed

Cell lengths 7.068, 7.068, 4.005 Å; angles 90.00, 90.00, 120.00 degrees
Each line ends with the local moment (μB).
Sites, in units of the cell vectors:
Er 0.000 0.411 0.500  0.17
Er 0.589 0.589 0.500  0.17
Er 0.411 0.000 0.500  0.17
Mn 0.000 0.765 0.000  -3.16
Mn 0.235 0.235 0.000  -3.16
Mn 0.765 0.000 0.000  -3.16
Ga 0.333 0.667 0.000  0.09
Ga 0.667 0.333 0.000  0.09
Ge 0.000 0.000 0.500  0.12

Energy relative to the elements (eV/f.u.): -3.0
Calculated volume (Å³ per cell): 173.3
Total moment (μB/f.u.): 9.026
Mass density (g/cm³): 8.4

***

(6)
Compound: Er3Mn3Ga2Ge
Source: the Alexandria database
Functional: GGA-PBE
Structure: relaxed

Cell lengths 6.987, 6.987, 4.084 Å; angles 90.00, 90.00, 120.00 degrees
Each line ends with the local moment (μB).
Sites, in units of the cell vectors:
Er 0.917 0.249 0.500  -0.14
Er 0.332 0.083 0.500  -0.14
Er 0.751 0.668 0.500  -0.14
Mn 0.568 0.898 0.000  3.14
Mn 0.329 0.432 0.000  3.14
Mn 0.102 0.671 0.000  3.14
Ga 0.667 0.333 0.000  -0.08
Ga 0.333 0.667 0.500  -0.14
Ge 0.000 0.000 0.000  -0.05

Energy relative to the elements (eV/f.u.): -3.3
Calculated volume (Å³ per cell): 172.6
Total moment (μB/f.u.): 9.143
Mass density (g/cm³): 8.5

***

(7)
Compound: Na2ErGaGe2
Source: the Alexandria database
Functional: GGA-PBE
Structure: relaxed

Cell lengths 4.251, 7.194, 8.803 Å; angles 90.00, 90.00, 90.00 degrees
Sites, in units of the cell vectors:
Na 0.500 0.032 0.082
Na 0.000 0.347 0.161
Na 0.500 0.532 0.918
Na 0.000 0.847 0.839
Er 0.000 0.989 0.447
Er 0.000 0.489 0.553
Ga 0.500 0.152 0.676
Ga 0.500 0.652 0.324
Ge 0.000 0.253 0.822
Ge 0.500 0.274 0.388
Ge 0.000 0.753 0.178
Ge 0.500 0.774 0.612

Energy relative to the elements (eV/f.u.): -2.3
Calculated volume (Å³ per cell): 269.2
Total moment (μB/f.u.): 0.000
Mass density (g/cm³): 5.3

***

(8)
Compound: NdErGaGe
Source: the Alexandria database
Functional: GGA-PBE
Structure: relaxed

Cell lengths 5.124, 5.124, 5.124 Å; angles 60.00, 60.00, 60.00 degrees
Sites, in units of the cell vectors:
Ge 0.500 0.500 0.500
Nd 0.750 0.750 0.750
Ga 0.000 0.000 0.000
Er 0.250 0.250 0.250

Energy relative to the elements (eV/f.u.): -2.2
Calculated volume (Å³ per cell): 95.1
Total moment (μB/f.u.): 0.000
Mass density (g/cm³): 7.9

***

(9)
Compound: NdErGaGe
Source: the Alexandria database
Functional: GGA-PBE
Structure: relaxed

Cell lengths 4.380, 4.045, 5.912 Å; angles 90.00, 111.74, 90.00 degrees
Sites, in units of the cell vectors:
Nd 0.142 0.000 0.283
Er 0.862 0.500 0.724
Ga 0.576 0.500 0.151
Ge 0.421 0.000 0.841

Energy relative to the elements (eV/f.u.): -3.0
Calculated volume (Å³ per cell): 97.3
Total moment (μB/f.u.): 0.007
Mass density (g/cm³): 7.7

***

(10)
Compound: ErGaNi2Ge2
Source: the Alexandria database
Functional: GGA-PBE
Structure: relaxed

Cell lengths 4.363, 4.363, 5.528 Å; angles 90.00, 90.00, 90.00 degrees
Sites, in units of the cell vectors:
Er 0.000 0.000 0.500
Ga 0.000 0.000 0.000
Ni 0.500 0.000 0.000
Ni 0.000 0.500 0.000
Ge 0.500 0.500 0.736
Ge 0.500 0.500 0.264

Energy relative to the elements (eV/f.u.): -1.0
Calculated volume (Å³ per cell): 105.2
Total moment (μB/f.u.): 0.000
Mass density (g/cm³): 7.9

***

(11)
Compound: Er2Ga2Ni5Ge
Source: the Alexandria database
Functional: GGA-PBE
Structure: relaxed

Cell lengths 3.226, 9.713, 9.713 Å; angles 90.00, 90.00, 90.00 degrees
Sites, in units of the cell vectors:
Er 0.000 0.675 0.175
Er 0.000 0.325 0.825
Er 0.000 0.175 0.325
Er 0.000 0.825 0.675
Ga 0.000 0.126 0.626
Ga 0.000 0.874 0.374
Ga 0.000 0.626 0.874
Ga 0.000 0.374 0.126
Ni 0.500 0.195 0.049
Ni 0.500 0.805 0.951
Ni 0.500 0.049 0.805
Ni 0.500 0.695 0.451
Ni 0.500 0.951 0.195
Ni 0.500 0.305 0.549
Ni 0.500 0.549 0.695
Ni 0.500 0.451 0.305
Ni 0.500 0.500 0.000
Ni 0.500 0.000 0.500
Ge 0.000 0.000 0.000
Ge 0.000 0.500 0.500

Energy relative to the elements (eV/f.u.): -3.8
Calculated volume (Å³ per cell): 304.4
Total moment (μB/f.u.): 0.000
Mass density (g/cm³): 9.2

***

(12)
Compound: Er3GaNi9Ge2
Source: the Alexandria database
Functional: GGA-PBE
Structure: relaxed

Cell lengths 5.921, 5.921, 8.614 Å; angles 90.00, 90.00, 120.00 degrees
Sites, in units of the cell vectors:
Er 0.333 0.667 0.716
Er 0.000 0.000 0.000
Er 0.667 0.333 0.284
Ga 0.000 0.000 0.500
Ni 0.867 0.133 0.723
Ni 0.867 0.734 0.723
Ni 0.266 0.133 0.723
Ni 0.734 0.867 0.277
Ni 0.133 0.266 0.277
Ni 0.133 0.867 0.277
Ni 0.500 0.000 0.000
Ni 0.000 0.500 0.000
Ni 0.500 0.500 0.000
Ge 0.333 0.667 0.184
Ge 0.667 0.333 0.816

Energy relative to the elements (eV/f.u.): -3.1
Calculated volume (Å³ per cell): 261.5
Total moment (μB/f.u.): 0.000
Mass density (g/cm³): 7.9

***

(13)
Compound: Er3Ga2Ni9Ge
Source: the Alexandria database
Functional: GGA-PBE
Structure: relaxed

Cell lengths 5.999, 5.999, 8.336 Å; angles 90.00, 90.00, 120.00 degrees
Sites, in units of the cell vectors:
Er 0.333 0.667 0.713
Er 0.000 0.000 0.000
Er 0.667 0.333 0.287
Ga 0.333 0.667 0.189
Ga 0.667 0.333 0.811
Ni 0.867 0.133 0.722
Ni 0.867 0.734 0.722
Ni 0.266 0.133 0.722
Ni 0.734 0.867 0.278
Ni 0.133 0.266 0.278
Ni 0.133 0.867 0.278
Ni 0.500 0.000 0.000
Ni 0.000 0.500 0.000
Ni 0.500 0.500 0.000
Ge 0.000 0.000 0.500

Energy relative to the elements (eV/f.u.): -2.3
Calculated volume (Å³ per cell): 259.8
Total moment (μB/f.u.): 0.000
Mass density (g/cm³): 7.9

***

(14)
Compound: ErGaNi4Ge2
Source: the Alexandria database
Functional: GGA-PBE
Structure: relaxed

Cell lengths 4.028, 4.028, 8.635 Å; angles 76.51, 76.51, 60.00 degrees
Sites, in units of the cell vectors:
Er 0.000 0.000 0.000
Ga 0.500 0.500 0.500
Ni 0.407 0.407 0.780
Ni 0.867 0.867 0.400
Ni 0.133 0.133 0.600
Ni 0.593 0.593 0.220
Ge 0.748 0.748 0.756
Ge 0.252 0.252 0.244

Energy relative to the elements (eV/f.u.): -3.5
Calculated volume (Å³ per cell): 116.9
Total moment (μB/f.u.): 0.000
Mass density (g/cm³): 8.8

***

(15)
Compound: ErPaGaGe
Source: the Alexandria database
Functional: GGA-PBE
Structure: relaxed

Cell lengths 5.021, 5.021, 5.021 Å; angles 60.00, 60.00, 60.00 degrees
Each line ends with the local moment (μB).
Sites, in units of the cell vectors:
Ge 0.250 0.250 0.250  0.04
Pa 0.000 0.000 0.000  0.93
Ga 0.750 0.750 0.750  0.06
Er 0.500 0.500 0.500  0.25

Energy relative to the elements (eV/f.u.): -1.4
Calculated volume (Å³ per cell): 89.5
Total moment (μB/f.u.): 1.567
Mass density (g/cm³): 10.0

***

(16)
Compound: Er2Ga3GePt4
Source: the Alexandria database
Functional: GGA-PBE
Structure: relaxed

Cell lengths 4.114, 4.114, 10.910 Å; angles 90.00, 90.00, 90.00 degrees
Sites, in units of the cell vectors:
Er 0.500 0.000 0.253
Er 0.000 0.500 0.747
Ga 0.000 0.000 0.500
Ga 0.500 0.000 0.864
Ga 0.000 0.500 0.136
Ge 0.500 0.500 0.500
Pt 0.500 0.500 0.000
Pt 0.000 0.000 0.000
Pt 0.500 0.000 0.640
Pt 0.000 0.500 0.360

Energy relative to the elements (eV/f.u.): -9.2
Calculated volume (Å³ per cell): 184.7
Total moment (μB/f.u.): 0.000
Mass density (g/cm³): 12.6

***

(17)
Compound: ErGaGePt3
Source: the Alexandria database
Functional: GGA-PBE
Structure: relaxed

Cell lengths 5.548, 5.547, 8.560 Å; angles 108.90, 90.00, 90.00 degrees
Sites, in units of the cell vectors:
Er 0.750 0.312 0.625
Er 0.250 0.688 0.375
Ga 0.250 0.101 0.203
Ga 0.750 0.899 0.797
Ge 0.250 0.404 0.808
Ge 0.750 0.596 0.192
Pt 0.250 0.253 0.506
Pt 0.000 0.248 0.000
Pt 0.500 0.752 0.000
Pt 0.500 0.248 0.000
Pt 0.000 0.752 0.000
Pt 0.750 0.747 0.494

Energy relative to the elements (eV/f.u.): -4.3
Calculated volume (Å³ per cell): 249.2
Total moment (μB/f.u.): 0.000
Mass density (g/cm³): 11.9

***

(18)
Compound: Er2GaGe3Pt4
Source: the Alexandria database
Functional: GGA-PBE
Structure: relaxed

Cell lengths 4.242, 4.242, 10.332 Å; angles 90.00, 90.00, 90.00 degrees
Sites, in units of the cell vectors:
Er 0.500 0.000 0.251
Er 0.000 0.500 0.749
Ga 0.500 0.500 0.500
Ge 0.000 0.000 0.500
Ge 0.500 0.000 0.867
Ge 0.000 0.500 0.133
Pt 0.500 0.500 0.000
Pt 0.000 0.000 0.000
Pt 0.500 0.000 0.634
Pt 0.000 0.500 0.366

Energy relative to the elements (eV/f.u.): -8.8
Calculated volume (Å³ per cell): 185.9
Total moment (μB/f.u.): 0.000
Mass density (g/cm³): 12.5

***

(19)
Compound: ErPuGaGe
Source: the Alexandria database
Functional: GGA-PBE
Structure: relaxed

Cell lengths 5.018, 5.018, 5.018 Å; angles 60.00, 60.00, 60.00 degrees
Each line ends with the local moment (μB).
Sites, in units of the cell vectors:
Ge 0.250 0.250 0.250  0.04
Er 0.500 0.500 0.500  -0.14
Ga 0.750 0.750 0.750  0.02
Pu 0.000 0.000 0.000  -5.26

Energy relative to the elements (eV/f.u.): -1.8
Calculated volume (Å³ per cell): 89.3
Total moment (μB/f.u.): 5.565
Mass density (g/cm³): 10.3

***

(20)
Compound: Er2GaGe3Rh4
Source: the Alexandria database
Functional: GGA-PBE
Structure: relaxed

Cell lengths 4.160, 4.160, 10.240 Å; angles 90.00, 90.00, 90.00 degrees
Sites, in units of the cell vectors:
Er 0.500 0.000 0.251
Er 0.000 0.500 0.749
Ga 0.500 0.500 0.500
Ge 0.000 0.000 0.500
Ge 0.500 0.000 0.869
Ge 0.000 0.500 0.131
Rh 0.500 0.500 0.000
Rh 0.000 0.000 0.000
Rh 0.500 0.000 0.634
Rh 0.000 0.500 0.366

Energy relative to the elements (eV/f.u.): -8.4
Calculated volume (Å³ per cell): 177.2
Total moment (μB/f.u.): 0.000
Mass density (g/cm³): 9.7